[1]
NiAs2Br: optimized geometry, PBE.

Structure (POSCAR):
```
NiAs2Br
1.0
2.5786 -4.7741 0.0000
2.5786 4.7741 0.0000
0.0000 0.0000 3.0649
Ni As Br
1 2 1
Direct
0.0000 0.0000 0.0000
0.0000 0.5000 0.5000
0.5000 0.0000 0.5000
0.5000 0.5000 0.0000
```

Output
Symmetry ... Cmmm (65)
Energy above the most stable polymorph in this dataset ... 817 meV per atom
Energy relative to the elements, uncorrected ... 2.56 eV per formula unit
N(E_F) ... 0.89 states/eV/atom

[2]
CeGdNiIr: optimized geometry, PBE.

Structure (POSCAR):
```
CeGdNiIr
1.0
0.0000 3.4567 3.4567
3.4567 0.0000 3.4567
3.4567 3.4567 0.0000
Ce Gd Ni Ir
1 1 1 1
Direct
0.0000 0.0000 0.0000
0.5000 0.5000 0.5000
0.7500 0.7500 0.7500
0.2500 0.2500 0.2500
```

Output
Symmetry ... F-43m (216)
DFT formation energy ... -0.514 eV per atom
N(E_F) ... 1.73 states/eV/atom

[3]
KFeSN2: optimized geometry, PBE.

Structure (POSCAR):
```
KFeSN2
1.0
4.6811 0.0000 0.0000
0.0000 4.6811 0.0000
0.0000 0.0000 6.0635
K Fe S N
1 1 1 2
Direct
0.0000 0.0000 0.0000
0.5000 0.5000 0.5000
0.0000 0.0000 0.5000
0.0000 0.5000 0.0000
0.5000 0.0000 0.0000
```

Output
Symmetry ... P4/mmm (123)
Energy above the most stable polymorph in this dataset ... 1835 meV per atom
Energy relative to the elements, uncorrected ... 12.84 eV per formula unit
N(E_F) ... 0.79 states/eV/atom

[4]
BeAg2Cl: optimized geometry, PBE.

Structure (POSCAR):
```
BeAg2Cl
1.0
3.3052 0.0000 0.0000
0.0000 3.3052 0.0000
0.0000 0.0000 6.5699
Be Ag Cl
1 2 1
Direct
0.0000 0.0000 0.0000
0.0000 0.0000 0.6229
0.5000 0.5000 0.9044
0.5000 0.5000 0.3749
```

Output
Symmetry ... P4mm (99)
Energy above the most stable polymorph in this dataset ... 278 meV per atom
Energy relative to the elements, uncorrected ... 0.65 eV per formula unit
N(E_F) ... 0.37 states/eV/atom

[5]
BaPuCdPb: optimized geometry, PBE.

Structure (POSCAR):
```
BaPuCdPb
1.0
0.0000 4.0735 4.0735
4.0735 0.0000 4.0735
4.0735 4.0735 0.0000
Ba Pu Cd Pb
1 1 1 1
Direct
0.0000 0.0000 0.0000
0.5000 0.5000 0.5000
0.7500 0.7500 0.7500
0.2500 0.2500 0.2500
```

Output
Symmetry ... F-43m (216)
DFT formation energy ... -0.149 eV per atom
N(E_F) ... 3.61 states/eV/atom

[6]
Zr2Cd2Cu: optimized geometry, PBE.

Structure (POSCAR):
```
Zr2Cd2Cu
1.0
6.8199 0.0000 0.0000
0.0000 6.8199 0.0000
0.0000 0.0000 4.5057
Zr Cd Cu
4 4 2
Direct
0.1651 0.3349 0.0000
0.3349 0.8349 0.0000
0.6651 0.1651 0.0000
0.8349 0.6651 0.0000
0.1434 0.6434 0.5000
0.3566 0.1434 0.5000
0.6434 0.8566 0.5000
0.8566 0.3566 0.5000
0.0000 0.0000 0.5000
0.5000 0.5000 0.5000
```

Output
Symmetry ... P4/mbm (127)
DFT formation energy ... 0.123 eV per atom
Energy above the most stable polymorph in this dataset ... 0 meV per atom
N(E_F) ... 0.94 states/eV/atom

[7]
SrNd2Tm: optimized geometry, PBE.

Structure (POSCAR):
```
SrNd2Tm
1.0
5.2845 0.0000 0.0000
0.0000 5.2845 0.0000
0.0000 0.0000 5.2480
Sr Nd Tm
1 2 1
Direct
0.0000 0.0000 0.0000
0.0000 0.5000 0.5000
0.5000 0.0000 0.5000
0.5000 0.5000 0.0000
```

Output
Symmetry ... P4/mmm (123)
DFT formation energy ... 0.175 eV per atom
Energy above the most stable polymorph in this dataset ... 74 meV per atom
N(E_F) ... 1.57 states/eV/atom

[8]
CrCoN2: optimized geometry, PBE.

Structure (POSCAR):
```
CrCoN2
1.0
3.0162 0.0000 0.0000
-1.5081 2.6121 0.0000
0.0000 0.0000 5.1508
Cr Co N
1 1 2
Direct
0.0000 0.0000 0.0000
0.3333 0.6667 0.5239
0.0000 0.0000 0.6423
0.3333 0.6667 0.1483
```

Output
Symmetry ... P3m1 (156)
Energy above the most stable polymorph in this dataset ... 103 meV per atom
Energy relative to the elements, uncorrected ... -0.50 eV per formula unit
N(E_F) ... 0.59 states/eV/atom

[9]
Cs3LiCa2I9: optimized geometry, PBE.

Structure (POSCAR):
```
Cs3LiCa2I9
1.0
8.6389 0.0000 0.0000
-4.3195 7.4815 0.0000
0.0000 0.0000 10.6287
Cs Li Ca I
3 1 2 9
Direct
0.0000 0.0000 0.0000
0.3333 0.6667 0.6622
0.6667 0.3333 0.3378
0.0000 0.0000 0.5000
0.3333 0.6667 0.1769
0.6667 0.3333 0.8231
0.0000 0.5000 0.0000
0.1625 0.3249 0.3388
0.1625 0.8375 0.3388
0.3249 0.1625 0.6612
0.5000 0.0000 0.0000
0.5000 0.5000 0.0000
0.6751 0.8375 0.3388
0.8375 0.1625 0.6612
0.8375 0.6751 0.6612
```

Output
Symmetry ... P-3m1 (164)
Energy relative to the elements, uncorrected ... -20.75 eV per formula unit
N(E_F) ... 1.08 states/eV/atom

[10]
Tb2HoTl3Se6: optimized geometry, PBE.

Structure (POSCAR):
```
Tb2HoTl3Se6
1.0
3.6308 -6.2882 0.0000
3.6308 6.2882 0.0000
-2.4222 0.0000 7.7730
Tb Ho Tl Se
2 1 3 6
Direct
0.1666 0.8334 0.0000
0.8334 0.1666 0.0000
0.5000 0.5000 0.0000
0.0000 0.0000 0.5000
0.3326 0.6674 0.5000
0.6674 0.3326 0.5000
0.1008 0.4319 0.7958
0.2371 0.2371 0.2048
0.4319 0.1008 0.7958
0.5681 0.8992 0.2042
0.7629 0.7629 0.7952
0.8992 0.5681 0.2042
```

Output
Symmetry ... C2/m (12)
Energy relative to the elements, uncorrected ... -16.66 eV per formula unit

[11]
MgTlTc2: optimized geometry, PBE.

Structure (POSCAR):
```
MgTlTc2
1.0
-1.6529 2.2381 4.6213
1.6529 -2.2381 4.6213
1.6529 2.2381 -4.6213
Mg Tl Tc
1 1 2
Direct
0.0000 0.0000 0.0000
0.5000 0.5000 0.0000
0.2491 0.7491 0.5000
0.7509 0.2509 0.5000
```

Output
Symmetry ... Immm (71)
DFT formation energy ... 0.529 eV per atom
Energy above the most stable polymorph in this dataset ... 363 meV per atom
N(E_F) ... 0.79 states/eV/atom

[12]
AcSm3Dy: optimized geometry, PBE.

Structure (POSCAR):
```
AcSm3Dy
1.0
9.3893 -2.6037 0.0000
9.3893 2.6037 0.0000
-1.4124 0.0000 7.2377
Ac Sm Dy
2 6 2
Direct
0.1972 0.1972 0.3433
0.8028 0.8028 0.6567
0.0026 0.0026 0.7551
0.1974 0.1974 0.8502
0.4037 0.4037 0.4501
0.5963 0.5963 0.5499
0.8026 0.8026 0.1498
0.9974 0.9974 0.2449
0.4027 0.4027 0.9560
0.5973 0.5973 0.0440
```

Output
Symmetry ... C2/m (12)
DFT formation energy ... 0.039 eV per atom
Energy above the most stable polymorph in this dataset ... 0 meV per atom
N(E_F) ... 1.54 states/eV/atom

[13]
KPPdO4: optimized geometry, PBE.

Structure (POSCAR):
```
KPPdO4
1.0
0.0000 4.2109 4.2109
4.2109 0.0000 4.2109
4.2109 4.2109 0.0000
K P Pd O
1 1 1 4
Direct
0.0000 0.0000 0.0000
0.5000 0.5000 0.5000
0.7500 0.7500 0.7500
0.1822 0.6059 0.6059
0.6059 0.1822 0.6059
0.6059 0.6059 0.1822
0.6059 0.6059 0.6059
```

Output
Symmetry ... F-43m (216)
Energy relative to the elements, uncorrected ... -9.55 eV per formula unit
N(E_F) ... 0.43 states/eV/atom

no.,total energy (eV per atom)
1,-3.549
2,-9.178
3,-3.499
4,-2.656
5,-5.368
6,-4.481
7,-3.747
8,-8.470
9,-2.879
10,-4.875
11,-5.645
12,-4.535
13,-5.869